# 1
Compound: BaSrGe2Se
Source: Alexandria
Functional: PBE
Structure: optimized geometry

Properties
- Symmetry: P4/mmm, No. 123
- E_form (uncorrected): 612.5 meV per atom
- N(E_F): 1.07 states/eV per atom

abc: 5.421 8.215 5.421
angles: 90.00 90.00 90.00
Last column: magnetic moment on the atom in μB.
Sites, in units of the cell vectors:
Ge 0.000 0.000 0.500  0.23
Se 0.500 0.500 0.500  0.22
Sr 0.000 0.000 0.000  0.10
Ba 0.000 0.500 0.000  0.01
Ge 0.500 0.000 0.000  0.24

# 2
Compound: BaSrGeSe4
Source: Alexandria
Functional: PBE
Structure: optimized geometry

Properties
- Symmetry: P2_1/m, No. 11
- E_form (uncorrected): -1331.6 meV per atom
- N(E_F): 0.00 states/eV per atom

abc: 7.172 7.135 8.917
angles: 90.00 107.85 90.00
Sites, in units of the cell vectors:
Se 0.591 0.250 0.870
Se 0.409 0.750 0.130
Ge 0.220 0.750 0.309
Ba 0.739 0.750 0.934
Se 0.000 0.508 0.746
Se 0.000 0.492 0.254
Se 0.000 0.992 0.746
Sr 0.766 0.750 0.443
Se 0.406 0.750 0.579
Ge 0.780 0.250 0.691
Sr 0.234 0.250 0.557
Ba 0.261 0.250 0.066
Se 0.594 0.250 0.421
Se 0.000 0.008 0.254

Magnetization for every record listed, in sequence, given in μB per cell: 1.8; 0.0.
Total energy for every record listed, in sequence, given in eV per atom: -2.65; -4.50.